The following is a PBE+U calculation of IrPbWO6 after structural relaxation, from Alexandria.

Lattice parameters (Å, degrees): 7.088 7.360 7.355 120.03 118.81 90.00
Last column: magnetic moment on the atom in μB.
Fractional positions:
O 0.584 0.320 0.766  0.04
O 0.584 0.946 0.766  0.04
O 0.437 0.687 0.873  0.04
O 0.416 0.680 0.234  0.04
O 0.183 0.946 0.766  0.04
W 0.500 0.500 0.000  -0.01
Pb 0.961 0.711 0.922  0.00
O 0.183 0.320 0.766  0.04
Ir 0.500 0.000 0.500  0.31
Ir 0.000 0.000 0.500  0.31
Pb 0.039 0.289 0.078  0.00
O 0.416 0.054 0.234  0.04
O 0.817 0.054 0.234  0.04
O 0.175 0.925 0.351  0.01
O 0.817 0.680 0.234  0.04
W 0.500 0.000 0.000  -0.01
O 0.563 0.313 0.127  0.04
O 0.825 0.075 0.649  0.01

Electronic total energy (eV per atom): -6.788
SG: Imma, No. 74
Total magnetic moment (μB/cell): 1.1